No. 1
Below is Ac2Zn3Pd12Au after structural relaxation, with properties calculated at the PBE level.

Computed properties:
* DFT formation energy: -159 meV/atom
* magnetic moment: 0.000 μB/f.u.
* raw total energy: -4.472 eV per atom

abc: 8.2774 8.2774 19.2497
angles: 90.00 90.00 120.00
Space group R-3m (No. 166, hexagonal axes)
Asymmetric unit:
Ac  0.0000  0.0000  0.1165
Zn  0.0000  0.5000  0.0000
Pd  0.0071  0.5035  0.3745
Pd  0.0210  0.5105  0.8712
Au  0.0000  0.0000  0.5000

No. 2
Below is CaAgCl3 after structural relaxation, with properties calculated at the PBE level.

Computed properties:
* formation energy from raw total energies: -126 kJ/mol of atoms
* energy relative to the lowest polymorph listed for this composition: 301.3 meV/atom
* magnetic moment: 0.000 μB/f.u.
* raw total energy: -3.386 eV per atom

abc: 5.3112 5.3112 5.3112
angles: 90.00 90.00 90.00
Space group Pm-3m (No. 221)
Asymmetric unit:
Ca  0.0000  0.0000  0.0000
Ag  0.5000  0.5000  0.5000
Cl  0.0000  0.0000  0.5000

No. 3
Below is KLaIn2Au after structural relaxation, with properties calculated at the PBE level.

Computed properties:
* DFT formation energy: 847 meV/atom
* magnetic moment: 0.000 μB/f.u.
* raw total energy: -2.108 eV per atom

abc: 5.9894 5.9894 7.4219
angles: 90.00 90.00 90.00
Space group P4/mmm (No. 123)
Asymmetric unit:
K  0.0000  0.0000  0.0000
La  0.0000  0.0000  0.5000
In  0.0000  0.5000  0.5000
Au  0.5000  0.5000  0.0000

No. 4
Below is Pm2ErUP4 after structural relaxation, with properties calculated at the PBE level.

Computed properties:
* DFT formation energy: -1426 meV/atom
* magnetic moment: 2.023 μB/f.u.
* raw total energy: -7.300 eV per atom

abc: 6.9730 4.0231 7.0039
angles: 90.00 109.18 90.00
Space group P2/m (No. 10)
Asymmetric unit:
Pm  0.0000  0.0000  0.0000
Pm  0.5000  0.5000  0.0000
Er  0.0000  0.5000  0.5000
U  0.5000  0.0000  0.5000
P  0.2505  0.0000  0.7355
P  0.2576  0.5000  0.2647

No. 5
Below is TcHg2Pt after structural relaxation, with properties calculated at the PBE level.

Computed properties:
* DFT formation energy: 488 meV/atom
* energy relative to the lowest polymorph listed for this composition: 283.6 meV/atom
* magnetic moment: 2.174 μB/f.u.
* raw total energy: -3.765 eV per atom

abc: 4.1836 4.1836 4.1847
angles: 90.00 90.00 90.00
Space group P4/mmm (No. 123)
Asymmetric unit:
Tc  0.0000  0.0000  0.0000
Hg  0.0000  0.5000  0.5000
Pt  0.5000  0.5000  0.0000

No. 6
Below is Zn2SiTe after structural relaxation, with properties calculated at the PBE level.

Computed properties:
* formation energy from raw total energies: 32 kJ/mol of atoms
* energy relative to the lowest polymorph listed for this composition: 261.0 meV/atom
* magnetic moment: 0.000 μB/f.u.
* raw total energy: -2.450 eV per atom

abc: 3.7771 5.3842 8.0174
angles: 90.00 90.00 90.00
Space group Immm (No. 71)
Asymmetric unit:
Zn  0.0000  0.0000  0.2230
Si  0.0000  0.5000  0.5000
Te  0.0000  0.5000  0.0000

What did the first record say?
Below is Ac2Zn3Pd12Au after structural relaxation, with properties calculated at the PBE level.

Computed properties:
* DFT formation energy: -159 meV/atom
* magnetic moment: 0.000 μB/f.u.
* raw total energy: -4.472 eV per atom

abc: 8.2774 8.2774 19.2497
angles: 90.00 90.00 120.00
Space group R-3m (No. 166, hexagonal axes)
Asymmetric unit:
Ac  0.0000  0.0000  0.1165
Zn  0.0000  0.5000  0.0000
Pd  0.0071  0.5035  0.3745
Pd  0.0210  0.5105  0.8712
Au  0.0000  0.0000  0.5000

Q: Look up the magnetic moment of the fifth one.
A: 2.174 μB/f.u.